The following is a GGA-PBE calculation of a relaxed structure of AcSmAs2Pd2, from the Alexandria database.

Properties
The space group is P-3m1. Its energy of formation from the pure elements is -1.1960 eV per atom.

Unit cell a=4.4322 b=4.4322 c=8.0197 alpha=90.00 beta=90.00 gamma=120.00
With the nearest neighbours (Å) after each atom.
Fractional coordinates of all 6 atoms:
Pd1 0.3333 0.6667 0.7331  3 As 2.56
Pd2 0.6667 0.3333 0.2669  3 As 2.56
Ac1 0.0000 0.0000 0.0000  6 Pd 3.34, 6 As 3.34
As1 0.3333 0.6667 0.2671  3 Pd 2.56
As2 0.6667 0.3333 0.7329  3 Pd 2.56
Sm1 0.0000 0.0000 0.5000  6 As 3.17, 6 Pd 3.17